Entry 1:
The following is a GGA-PBE calculation of Pu2TlCu after structural relaxation, from Alexandria.

The structure in POSCAR format:
```
Pu2TlCu
1.0
-2.560 2.803 3.834
0.345 -2.801 2.277
3.173 1.325 1.150
Tl Cu Pu
1 1 2
Cartesian
0.479 0.664 3.631
-1.280 1.401 1.917
1.587 0.663 0.575
0.172 -1.400 1.139
```

Output
Energy relative to the elements, eV per formula unit: 2.12
Total DFT energy (no corrections), eV/atom: -8.25



Entry 2:
The following is a GGA-PBE calculation of GdZrMn2 after structural relaxation, from Alexandria.

The structure in POSCAR format:
```
GdZrMn2
1.0
-2.039 -1.288 -2.393
-2.162 -1.043 2.404
-3.287 5.919 -0.387
Mn Gd Zr
2 1 1
Cartesian
-0.959 1.728 -0.113
-2.327 4.191 -0.274
-2.100 -1.166 0.006
-3.744 1.794 -0.188
```

Output
Energy relative to the elements, eV per formula unit: 0.35
Total DFT energy (no corrections), eV/atom: -10.15



Entry 3:
The following is a GGA-PBE calculation of BaCd2SiIr after structural relaxation, from Alexandria.

The structure in POSCAR format:
```
BaCd2SiIr
1.0
5.234 0.000 0.000
0.000 5.777 0.000
0.000 0.000 5.234
Cd Ba Si Ir
2 1 1 1
Cartesian
0.000 0.000 2.617
2.617 0.000 0.000
0.000 2.888 0.000
2.617 2.888 2.617
0.000 0.000 0.000
```

Output
Raw formation energy, kJ/mol of formula units: 231
Total DFT energy (no corrections), eV/atom: -3.13



Entry 4:
The following is a GGA-PBE calculation of Ti4PdRh3 after structural relaxation, from Alexandria.

The structure in POSCAR format:
```
Ti4PdRh3
1.0
4.642 0.000 0.000
0.000 5.811 0.000
0.000 0.000 9.006
Ti Rh Pd
8 6 2
Cartesian
4.331 4.382 2.251
0.311 4.382 6.754
2.321 4.380 0.000
4.331 1.429 2.251
0.311 1.429 6.754
2.321 4.380 4.503
2.321 1.430 4.503
2.321 1.430 0.000
2.671 2.905 6.754
0.000 0.000 4.503
1.971 2.905 2.251
2.703 0.000 6.754
0.000 0.000 0.000
1.939 0.000 2.251
0.000 2.905 4.503
0.000 2.905 0.000
```

Output
Energy relative to the elements, eV per formula unit: -5.45
Total DFT energy (no corrections), eV/atom: -8.03



Entry 5:
The following is a GGA-PBE calculation of Li2TlF after structural relaxation, from Alexandria.

The structure in POSCAR format:
```
Li2TlF
1.0
-3.823 -3.500 -2.826
3.129 0.595 -4.970
1.861 -4.674 -2.894
Tl Li F
2 4 2
Cartesian
-1.154 -4.814 -4.809
0.000 0.000 0.000
1.301 -1.822 -4.658
0.263 -6.148 -8.157
-0.891 -2.694 -2.636
1.661 -4.495 -5.928
-0.347 -1.453 -3.898
2.322 -2.766 -5.881
```

Output
Raw formation energy, kJ/mol of formula units: -556
Total DFT energy (no corrections), eV/atom: -3.46



Entry 6:
The following is a GGA-PBE calculation of Te6Pd3Rh after structural relaxation, from Alexandria.

The structure in POSCAR format:
```
Te6Pd3Rh
1.0
-6.124 3.297 -1.152
-5.839 -3.747 -1.255
-5.116 -0.278 4.829
Te Pd Rh
6 3 1
Cartesian
-8.742 2.076 2.676
-6.757 -1.709 2.987
-6.159 0.880 0.265
-10.349 0.922 -0.574
-8.273 -2.799 -0.243
-10.957 -1.555 2.149
-9.046 -0.422 3.739
-4.599 -0.220 2.250
-8.036 -0.307 -1.300
-12.477 -0.509 0.158
```

Output
Raw formation energy, kJ/mol of formula units: -305
Total DFT energy (no corrections), eV/atom: -4.49



Entry 7:
The following is a GGA-PBE calculation of Eu2UO after structural relaxation, from Alexandria.

The structure in POSCAR format:
```
Eu2UO
1.0
3.449 0.000 0.000
1.724 2.987 0.000
1.724 0.996 9.371
Eu O U
2 1 1
Cartesian
5.173 2.987 6.192
1.724 0.996 3.179
3.449 1.991 4.686
0.000 0.000 0.000
```

Output
Raw formation energy, kJ/mol of formula units: -348
Total DFT energy (no corrections), eV/atom: -10.10



Entry 8:
The following is a GGA-PBE calculation of NbCoCuAu after structural relaxation, from Alexandria.

The structure in POSCAR format:
```
NbCoCuAu
1.0
-3.777 0.731 2.037
-2.669 -3.321 0.893
-0.543 -1.311 4.116
Au Co Cu Nb
1 1 1 1
Cartesian
-1.747 -0.975 1.761
-3.495 -1.950 3.523
0.000 0.000 0.000
-5.242 -2.926 5.284
```

Output
Energy relative to the elements, eV per formula unit: 0.19
Total DFT energy (no corrections), eV/atom: -6.09



Entry 9:
The following is a GGA-PBE calculation of CsLaHg after structural relaxation, from Alexandria.

The structure in POSCAR format:
```
CsLaHg
1.0
4.270 0.000 0.000
-2.135 3.691 0.000
0.000 0.000 17.942
La Cs Hg
2 2 2
Cartesian
2.135 0.844 6.910
2.135 0.844 11.032
0.000 2.027 15.036
0.000 2.027 2.906
0.000 2.073 8.971
2.135 0.795 0.000
```

Output
Energy relative to the elements, eV per formula unit: 0.16
Total DFT energy (no corrections), eV/atom: -1.98



Entry 10:
The following is a GGA-PBE calculation of SrLiCa2Zn after structural relaxation, from Alexandria.

The structure in POSCAR format:
```
SrLiCa2Zn
1.0
5.922 0.000 0.000
0.000 5.922 0.000
0.000 0.000 5.170
Ca Sr Li Zn
2 1 1 1
Cartesian
2.961 0.000 0.000
0.000 2.961 0.000
2.961 2.961 2.585
0.000 0.000 2.585
0.000 0.000 0.000
```

Output
Energy relative to the elements, eV per formula unit: 0.17
Total DFT energy (no corrections), eV/atom: -1.74



Entry 11:
The following is a GGA-PBE calculation of VCd3Co after structural relaxation, from Alexandria.

The structure in POSCAR format:
```
VCd3Co
1.0
5.230 0.000 0.000
0.000 5.230 0.000
0.000 0.000 5.230
Co Cd V
1 3 1
Cartesian
2.615 2.615 2.615
2.615 0.000 0.000
0.000 0.000 2.615
0.000 2.615 0.000
0.000 0.000 0.000
```

Output
Energy relative to the elements, eV per formula unit: 6.86
Total DFT energy (no corrections), eV/atom: -2.42



Entry 12:
The following is a GGA-PBE calculation of TiTc3As after structural relaxation, from Alexandria.

The structure in POSCAR format:
```
TiTc3As
1.0
-3.913 -1.226 1.971
2.292 -2.649 2.903
0.366 3.490 2.896
Ti Tc As
1 3 1
Cartesian
0.000 0.000 0.000
-1.956 -0.613 0.986
1.146 -1.325 1.451
0.183 1.745 1.448
-0.627 -0.193 3.885
```

Output
Energy relative to the elements, eV per formula unit: 7.11
Total DFT energy (no corrections), eV/atom: -7.31